# 1
! GdMgAgAu | OQMD via LeMat-Bulk | PBE-GGA | relaxed; values from VASP
&SYSTEM
  ibrav = 0, nat = 8, ntyp = 4
/
ATOMIC_SPECIES
Ag 107.87 Ag.upf
Au 196.97 Au.upf
Gd 157.25 Gd.upf
Mg 24.30 Mg.upf
CELL_PARAMETERS angstrom
-2.901 -1.516 -3.774
3.387 -3.439 -1.223
-3.052 -4.486 4.160
ATOMIC_POSITIONS crystal
Ag 0.765 0.250 0.001
Ag 0.235 0.750 0.999
Au 0.764 0.250 0.499
Au 0.236 0.750 0.501
Gd 0.264 0.250 0.258
Gd 0.736 0.750 0.742
Mg 0.750 0.750 0.252
Mg 0.250 0.250 0.748
! energy above the lowest structure with this stoichiometry = 3.2 meV/atom
! mass density = 9.5 g/cm³
! total magnetic moment = 0.02 μB/cell
! V = 21.3 A^3/atom
! uncorrected energy = -3.619 eV per atom

=====

# 2
! Gd2Mg2AgAu3 | OQMD via LeMat-Bulk | PBE-GGA | relaxed; values from VASP
&SYSTEM
  ibrav = 0, nat = 8, ntyp = 4
/
ATOMIC_SPECIES
Ag 107.87 Ag.upf
Au 196.97 Au.upf
Gd 157.25 Gd.upf
Mg 24.30 Mg.upf
CELL_PARAMETERS angstrom
-1.403 4.759 0.598
-4.378 -1.025 -2.118
-2.616 -1.550 6.155
ATOMIC_POSITIONS crystal
Ag 0.264 0.000 0.751
Au 0.264 0.000 0.249
Au 0.736 0.500 0.251
Au 0.736 0.500 0.749
Gd 0.763 0.000 0.003
Gd 0.236 0.500 0.496
Mg 0.250 0.500 0.001
Mg 0.750 0.000 0.499
! mass density = 10.3 g/cm³
! total magnetic moment = 0.02 μB/cell
! V = 21.3 A^3/atom
! uncorrected energy = -3.791 eV per atom

=====

# 3
! Pr2GdMg3AgAu2 | OQMD via LeMat-Bulk | PBE-GGA | relaxed; values from VASP
&SYSTEM
  ibrav = 0, nat = 9, ntyp = 5
/
ATOMIC_SPECIES
Ag 107.87 Ag.upf
Au 196.97 Au.upf
Gd 157.25 Gd.upf
Mg 24.30 Mg.upf
Pr 140.91 Pr.upf
CELL_PARAMETERS angstrom
-0.099 4.012 0.849
-5.570 -1.285 5.422
7.607 -0.243 2.036
ATOMIC_POSITIONS crystal
Ag 0.000 0.996 0.996
Au 0.500 0.665 0.341
Au 0.500 0.341 0.665
Gd 0.000 0.584 0.584
Mg 0.500 0.248 0.248
Mg 0.500 0.996 0.753
Mg 0.500 0.753 0.996
Pr 0.000 0.416 0.000
Pr 0.000 0.000 0.416
! mass density = 7.6 g/cm³
! total magnetic moment = 0.00 μB/cell
! V = 24.5 A^3/atom
! uncorrected energy = -3.667 eV per atom

=====

# 4
! Tb2GdMg3AgAu2 | OQMD via LeMat-Bulk | PBE-GGA | relaxed; values from VASP
&SYSTEM
  ibrav = 0, nat = 9, ntyp = 5
/
ATOMIC_SPECIES
Ag 107.87 Ag.upf
Au 196.97 Au.upf
Gd 157.25 Gd.upf
Mg 24.30 Mg.upf
Tb 158.93 Tb.upf
CELL_PARAMETERS angstrom
4.009 0.000 0.000
0.000 6.724 3.878
0.000 -6.724 3.878
ATOMIC_POSITIONS crystal
Ag 0.000 0.000 0.000
Au 0.500 0.667 0.332
Au 0.500 0.332 0.667
Gd 0.000 0.585 0.585
Mg 0.500 0.752 0.000
Mg 0.500 0.248 0.248
Mg 0.500 0.000 0.752
Tb 0.000 0.415 0.000
Tb 0.000 0.000 0.415
! mass density = 8.3 g/cm³
! total magnetic moment = 0.01 μB/cell
! V = 23.2 A^3/atom
! uncorrected energy = -3.657 eV per atom

=====

total magnetic moment of number 4 (Tb2GdMg3AgAu2)?
0.01 μB/cell

=====

Which formula does entry 1 have?
GdMgAgAu